# 1
The following is a DFT calculation (PBE) of a relaxed structure of Ba2NdSnSe5.

E_form (uncorrected)	-1.54	eV/atom
calculated total energy	-4.882	eV/atom

Structure (CIF):
```
data_Ba2NdSnSe5
_cell_length_a 4.5705
_cell_length_b 19.0196
_cell_length_c 13.3041
_cell_angle_alpha 90.00
_cell_angle_beta 90.00
_cell_angle_gamma 90.00
_symmetry_space_group_name_H-M 'C m c 21'
_symmetry_Int_Tables_number 36
loop_
_symmetry_equiv_pos_as_xyz
'x,y,z'
'-x,-y,z+1/2'
'-x,y,z'
'x,-y,z+1/2'
'x+1/2,y+1/2,z'
'-x+1/2,-y+1/2,z+1/2'
'-x+1/2,y+1/2,z'
'x+1/2,-y+1/2,z+1/2'
loop_
_atom_site_label
_atom_site_type_symbol
_atom_site_fract_x
_atom_site_fract_y
_atom_site_fract_z
Ba1 Ba 0.0000 0.1142 0.0000
Ba2 Ba 0.0000 0.1308 0.6296
Nd1 Nd 0.0000 0.2129 0.3357
Sn1 Sn 0.0000 0.4532 0.7677
Se1 Se 0.0000 0.0504 0.3735
Se2 Se 0.0000 0.2879 0.9794
Se3 Se 0.0000 0.3176 0.6873
Se4 Se 0.0000 0.3628 0.3175
Se5 Se 0.0000 0.4951 0.0847
```

# 2
The following is a DFT calculation (PBE) of a relaxed structure of Ba2SrNdSe4.

E_form (uncorrected)	-1.97	eV/atom
calculated total energy	-5.003	eV/atom

Structure (CIF):
```
data_Ba2SrNdSe4
_cell_length_a 7.7855
_cell_length_b 4.4805
_cell_length_c 7.8775
_cell_angle_alpha 90.00
_cell_angle_beta 109.13
_cell_angle_gamma 90.00
_symmetry_space_group_name_H-M 'P 1 2/m 1'
_symmetry_Int_Tables_number 10
loop_
_symmetry_equiv_pos_as_xyz
'x,y,z'
'-x,-y,-z'
'-x,y,-z'
'x,-y,z'
loop_
_atom_site_label
_atom_site_type_symbol
_atom_site_fract_x
_atom_site_fract_y
_atom_site_fract_z
Ba1 Ba 0.0000 0.0000 0.0000
Ba2 Ba 0.5000 0.5000 0.0000
Sr1 Sr 0.0000 0.5000 0.5000
Nd1 Nd 0.5000 0.0000 0.5000
Se1 Se 0.2510 0.0000 0.7280
Se2 Se 0.2653 0.5000 0.2754
```

# 3
The following is a DFT calculation (PBE) of a relaxed structure of BaSr2NdSe4.

E_form (uncorrected)	-1.95	eV/atom
calculated total energy	-4.953	eV/atom

Structure (CIF):
```
data_BaSr2NdSe4
_cell_length_a 7.6923
_cell_length_b 4.4308
_cell_length_c 7.7476
_cell_angle_alpha 90.00
_cell_angle_beta 109.22
_cell_angle_gamma 90.00
_symmetry_space_group_name_H-M 'P 1 2/m 1'
_symmetry_Int_Tables_number 10
loop_
_symmetry_equiv_pos_as_xyz
'x,y,z'
'-x,-y,-z'
'-x,y,-z'
'x,-y,z'
loop_
_atom_site_label
_atom_site_type_symbol
_atom_site_fract_x
_atom_site_fract_y
_atom_site_fract_z
Ba1 Ba 0.0000 0.0000 0.0000
Sr1 Sr 0.5000 0.0000 0.5000
Sr2 Sr 0.5000 0.5000 0.0000
Nd1 Nd 0.0000 0.5000 0.5000
Se1 Se 0.2456 0.0000 0.7353
Se2 Se 0.2543 0.5000 0.2671
```

# 4
The following is a DFT calculation (PBE) of a relaxed structure of BaTb4NdSe8.

E_form (uncorrected)	-1.78	eV/atom
calculated total energy	-5.574	eV/atom

Structure (CIF):
```
data_BaTb4NdSe8
_cell_length_a 8.6402
_cell_length_b 8.6402
_cell_length_c 21.4707
_cell_angle_alpha 90.00
_cell_angle_beta 90.00
_cell_angle_gamma 120.00
_symmetry_space_group_name_H-M 'R 3 m'
_symmetry_Int_Tables_number 160
_symmetry_space_group_name_Hall 'R 3 -2"'
loop_
_atom_site_label
_atom_site_type_symbol
_atom_site_fract_x
_atom_site_fract_y
_atom_site_fract_z
Ba1 Ba 0.0000 0.0000 0.0000
Tb1 Tb 0.0000 0.0000 0.2528
Tb2 Tb 0.1686 0.3372 0.4600
Nd1 Nd 0.0000 0.0000 0.6291
Se1 Se 0.0000 0.0000 0.3846
Se2 Se 0.0000 0.0000 0.8593
Se3 Se 0.0406 0.5203 0.3856
Se4 Se 0.1740 0.3479 0.2062
```

For each record above, in turn, the calculated spin magnetization values are 0.00 0.00 0.00 0.00 μB per formula unit.